VASP calculation (PBE) on Fe5Ni6Pt after structural relaxation.

The calculation puts the total magnetization at 36.3 μB per cell. Its calculated formation energy is -93.7 meV per atom.

The structure belongs to space group Immm (No. 71); the cell edges are 3.6051, 7.2594 and 10.7748 Å and the angles 90.00°, 90.00° and 90.00°. Symmetry generates all atoms from Fe at (0.0000, 0.0000, 0.0000), Fe at (0.0000, 0.0000, 0.3276), Fe at (0.0000, 0.5000, 0.3354), Ni at (0.0000, 0.2469, 0.1680), Ni at (0.0000, 0.2578, 0.5000) and Pt at (0.0000, 0.5000, 0.0000).

***

VASP calculation (PBE) on Fe4Ni3Pt3 after structural relaxation.

The calculation puts the total magnetization at 28.6 μB per cell. Its calculated formation energy is 91.4 meV per atom.

The structure belongs to space group Amm2 (No. 38); the cell edges are 2.6795, 11.4312 and 9.0323 Å and the angles 90.00°, 90.00° and 90.00°. Symmetry generates all atoms from Fe at (0.0000, 0.0000, 0.0000), Fe at (0.0000, 0.0000, 0.2660), Fe at (0.0000, 0.1468, 0.5892), Ni at (0.0000, 0.2029, 0.8686), Ni at (0.5000, 0.0000, 0.4720), Pt at (0.5000, 0.0000, 0.7601) and Pt at (0.5000, 0.1677, 0.1366).

***

Question: The lowest total magnetization belongs to which entry?
Answer: Fe4Ni3Pt3

***

Please write out number 2 again, unchanged.
VASP calculation (PBE) on Fe4Ni3Pt3 after structural relaxation.

The calculation puts the total magnetization at 28.6 μB per cell. Its calculated formation energy is 91.4 meV per atom.

The structure belongs to space group Amm2 (No. 38); the cell edges are 2.6795, 11.4312 and 9.0323 Å and the angles 90.00°, 90.00° and 90.00°. Symmetry generates all atoms from Fe at (0.0000, 0.0000, 0.0000), Fe at (0.0000, 0.0000, 0.2660), Fe at (0.0000, 0.1468, 0.5892), Ni at (0.0000, 0.2029, 0.8686), Ni at (0.5000, 0.0000, 0.4720), Pt at (0.5000, 0.0000, 0.7601) and Pt at (0.5000, 0.1677, 0.1366).

***

Question: Which value of total magnetization does entry 1 give?
Answer: 36.3 μB per cell

***

Question: Number 1 is which compound?
Answer: Fe5Ni6Pt